1.
Compound: HfTiBr3
Source: Alexandria
Functional: PBE-GGA
Structure: optimized geometry

## Properties
SG = Pm-3m
electronic total energy = -4.514 eV per atom
crystal system = cubic

Unit cell a=5.2642 b=5.2642 c=5.2642 alpha=90.00 beta=90.00 gamma=90.00
Fractional coordinates of all 5 atoms:
1 Br 0.5000 0.0000 0.0000
2 Br 0.0000 0.5000 0.0000
3 Hf 0.0000 0.0000 0.0000
4 Br 0.0000 0.0000 0.5000
5 Ti 0.5000 0.5000 0.5000



2.
Compound: Cs2MgSi2Se6
Source: Alexandria
Functional: PBE-GGA
Structure: optimized geometry

## Properties
SG = R-3m
electronic total energy = -3.922 eV per atom
crystal system = trigonal

Unit cell a=7.3932 b=7.3932 c=9.1406 alpha=66.15 beta=66.15 gamma=60.00
Fractional coordinates of all 11 atoms:
1 Si 0.4028 0.4028 0.7916
2 Si 0.5972 0.5972 0.2084
3 Cs 0.7781 0.7781 0.6658
4 Se 0.7601 0.2464 0.2333
5 Se 0.2399 0.7536 0.7667
6 Se 0.7601 0.7601 0.2333
7 Se 0.2464 0.7601 0.2333
8 Se 0.7536 0.2399 0.7667
9 Se 0.2399 0.2399 0.7667
10 Cs 0.2219 0.2219 0.3342
11 Mg 0.0000 0.0000 0.0000



3.
Compound: Na2AgS2
Source: Alexandria
Functional: PBE-GGA
Structure: optimized geometry

## Properties
SG = P4/mbm
electronic total energy = -3.323 eV per atom
crystal system = tetragonal

Unit cell a=7.0095 b=7.0095 c=4.1176 alpha=90.00 beta=90.00 gamma=90.00
Fractional coordinates of all 10 atoms:
1 Ag 0.0000 0.0000 0.0000
2 S 0.8329 0.6671 0.0000
3 Ag 0.5000 0.5000 0.0000
4 Na 0.1437 0.6437 0.5000
5 Na 0.8563 0.3563 0.5000
6 Na 0.6437 0.8563 0.5000
7 S 0.1671 0.3329 0.0000
8 S 0.6671 0.1671 0.0000
9 Na 0.3563 0.1437 0.5000
10 S 0.3329 0.8329 0.0000



4.
Compound: Pb6Se
Source: Alexandria
Functional: PBE-GGA
Structure: optimized geometry

## Properties
SG = Im-3m
electronic total energy = -3.113 eV per atom
crystal system = cubic

Unit cell a=7.3894 b=7.3894 c=7.3894 alpha=109.47 beta=109.47 gamma=109.47
Fractional coordinates of all 7 atoms:
1 Pb 0.2500 0.5000 0.7500
2 Pb 0.2500 0.7500 0.5000
3 Pb 0.7500 0.2500 0.5000
4 Pb 0.5000 0.2500 0.7500
5 Pb 0.5000 0.7500 0.2500
6 Pb 0.7500 0.5000 0.2500
7 Se 0.0000 0.0000 0.0000



5.
Compound: Pm3Si3Au2
Source: Alexandria
Functional: PBE-GGA
Structure: optimized geometry

## Properties
SG = Cmcm
electronic total energy = -5.400 eV per atom
crystal system = orthorhombic

Unit cell a=4.3710 b=5.8574 c=14.5474 alpha=90.00 beta=90.00 gamma=111.91
Fractional coordinates of all 16 atoms:
1 Au 0.2069 0.4138 0.4070
2 Au 0.7931 0.5862 0.9070
3 Si 0.3400 0.6800 0.2500
4 Pm 0.9154 0.8308 0.1142
5 Si 0.3997 0.7994 0.9600
6 Au 0.2069 0.4138 0.0930
7 Si 0.6003 0.2006 0.0400
8 Si 0.3997 0.7994 0.5400
9 Au 0.7931 0.5862 0.5930
10 Pm 0.6331 0.2663 0.2500
11 Pm 0.0846 0.1692 0.6142
12 Pm 0.0846 0.1692 0.8858
13 Pm 0.3669 0.7337 0.7500
14 Pm 0.9154 0.8308 0.3858
15 Si 0.6003 0.2006 0.4600
16 Si 0.6600 0.3200 0.7500



6.
Compound: SrYMg2
Source: Alexandria
Functional: PBE-GGA
Structure: optimized geometry

## Properties
E_form = 0.16 eV/atom
SG = R3m
crystal system = trigonal

Unit cell a=11.2158 b=11.2158 c=11.2158 alpha=19.04 beta=19.04 gamma=19.04
Fractional coordinates of all 4 atoms:
1 Sr 0.5056 0.5056 0.5056
2 Y 0.7396 0.7396 0.7396
3 Mg 0.2595 0.2595 0.2595
4 Mg 0.9953 0.9953 0.9953



7.
Compound: Sr2Mg4CdGe3
Source: Alexandria
Functional: PBE-GGA
Structure: optimized geometry

## Properties
E_form = -0.38 eV/atom
SG = P-4m2
crystal system = tetragonal

Unit cell a=4.5696 b=4.5696 c=11.7516 alpha=90.00 beta=90.00 gamma=90.00
Fractional coordinates of all 10 atoms:
1 Mg 0.0000 0.5000 0.3613
2 Mg 0.0000 0.0000 0.0000
3 Sr 0.5000 0.0000 0.2445
4 Cd 0.5000 0.5000 0.5000
5 Mg 0.5000 0.0000 0.6387
6 Ge 0.0000 0.5000 0.1352
7 Ge 0.5000 0.0000 0.8648
8 Ge 0.0000 0.0000 0.5000
9 Mg 0.5000 0.5000 0.0000
10 Sr 0.0000 0.5000 0.7555



8.
Compound: Pu3Si3Ge2
Source: Alexandria
Functional: PBE-GGA
Structure: optimized geometry

## Properties
SG = Cmcm
electronic total energy = -8.907 eV per atom
crystal system = orthorhombic

Unit cell a=4.1524 b=5.7163 c=14.8756 alpha=90.00 beta=90.00 gamma=111.30
Fractional coordinates of all 16 atoms:
1 Pu 0.1329 0.2658 0.5954
2 Ge 0.8399 0.6798 0.6185
3 Si 0.5773 0.1547 0.4465
4 Ge 0.1601 0.3201 0.1185
5 Si 0.4227 0.8453 0.5535
6 Pu 0.8671 0.7342 0.0954
7 Si 0.4227 0.8453 0.9465
8 Si 0.3096 0.6192 0.2500
9 Pu 0.1329 0.2658 0.9046
10 Si 0.5773 0.1547 0.0535
11 Ge 0.1601 0.3201 0.3815
12 Ge 0.8399 0.6798 0.8815
13 Pu 0.4202 0.8404 0.7500
14 Pu 0.5798 0.1596 0.2500
15 Pu 0.8671 0.7342 0.4046
16 Si 0.6904 0.3808 0.7500



9.
Compound: BaMn2In
Source: Alexandria
Functional: PBE-GGA
Structure: optimized geometry

## Properties
E_form = 0.72 eV/atom
SG = I-42d
crystal system = tetragonal

Unit cell a=8.3964 b=8.3964 c=6.8227 alpha=52.02 beta=52.02 gamma=90.00
Fractional coordinates of all 8 atoms:
1 Ba 0.0000 0.0000 0.0000
2 Mn 0.3750 0.4336 0.7500
3 Mn 0.1836 0.6250 0.2500
4 Mn 0.8750 0.8164 0.7500
5 Mn 0.5664 0.1250 0.2500
6 In 0.5000 0.5000 0.0000
7 In 0.2500 0.7500 0.5000
8 Ba 0.7500 0.2500 0.5000



10.
Compound: CaY2Be
Source: Alexandria
Functional: PBE-GGA
Structure: optimized geometry

## Properties
E_form = 0.37 eV/atom
SG = I-42d
crystal system = tetragonal

Unit cell a=8.4727 b=8.4727 c=6.7924 alpha=51.41 beta=51.41 gamma=90.00
Fractional coordinates of all 8 atoms:
1 Be 0.2500 0.7500 0.5000
2 Y 0.3750 0.4423 0.7500
3 Y 0.1923 0.6250 0.2500
4 Ca 0.7500 0.2500 0.5000
5 Be 0.5000 0.5000 0.0000
6 Y 0.8750 0.8077 0.7500
7 Ca 0.0000 0.0000 0.0000
8 Y 0.5577 0.1250 0.2500



11.
Compound: Ac6SiRu2Cl3
Source: Alexandria
Functional: PBE-GGA
Structure: optimized geometry

## Properties
SG = C2/m
electronic total energy = -5.506 eV per atom
crystal system = monoclinic

Unit cell a=7.6299 b=7.6299 c=8.2231 alpha=98.91 beta=98.91 gamma=120.04
Fractional coordinates of all 12 atoms:
1 Ac 0.7163 0.7163 0.2071
2 Ru 0.3332 0.6668 0.0000
3 Cl 0.8350 0.1650 0.5000
4 Ru 0.6668 0.3332 0.0000
5 Ac 0.2837 0.2837 0.7929
6 Ac 0.5791 0.9319 0.7934
7 Cl 0.1650 0.8350 0.5000
8 Cl 0.5000 0.5000 0.5000
9 Si 0.0000 0.0000 0.0000
10 Ac 0.9319 0.5791 0.7934
11 Ac 0.4209 0.0681 0.2066
12 Ac 0.0681 0.4209 0.2066



12.
Compound: TaW2Au
Source: Alexandria
Functional: PBE-GGA
Structure: optimized geometry

## Properties
E_form = 0.27 eV/atom
SG = P2/m
crystal system = monoclinic

Unit cell a=4.7369 b=2.7655 c=5.2472 alpha=83.24 beta=90.00 gamma=90.00
Fractional coordinates of all 4 atoms:
1 Au 0.5000 0.2500 0.2500
2 Ta 0.5000 0.7500 0.7500
3 W 0.0000 0.4713 0.5114
4 W 0.0000 0.0287 0.9886



13.
Compound: RbTl2Pt2
Source: Alexandria
Functional: PBE-GGA
Structure: optimized geometry

## Properties
E_form = -0.01 eV/atom
SG = P4/mbm
crystal system = tetragonal

Unit cell a=8.8211 b=8.8211 c=3.0210 alpha=90.00 beta=90.00 gamma=90.00
Fractional coordinates of all 10 atoms:
1 Tl 0.1343 0.6343 0.5000
2 Tl 0.3657 0.1343 0.5000
3 Pt 0.1605 0.3395 0.0000
4 Pt 0.3395 0.8395 0.0000
5 Pt 0.8395 0.6605 0.0000
6 Rb 0.5000 0.5000 0.0000
7 Tl 0.8657 0.3657 0.5000
8 Rb 0.0000 0.0000 0.0000
9 Tl 0.6343 0.8657 0.5000
10 Pt 0.6605 0.1605 0.0000



14.
Compound: Ho2AlCu3Ge4
Source: Alexandria
Functional: PBE-GGA
Structure: optimized geometry

## Properties
E_form = -0.43 eV/atom
SG = P-4m2
crystal system = tetragonal

Unit cell a=4.0789 b=4.0789 c=10.5296 alpha=90.00 beta=90.00 gamma=90.00
Fractional coordinates of all 10 atoms:
1 Ge 0.5000 0.5000 0.0000
2 Al 0.5000 0.5000 0.5000
3 Ho 0.5000 0.0000 0.2439
4 Ge 0.0000 0.0000 0.0000
5 Cu 0.5000 0.0000 0.8672
6 Cu 0.0000 0.0000 0.5000
7 Ge 0.0000 0.5000 0.3548
8 Ho 0.0000 0.5000 0.7561
9 Ge 0.5000 0.0000 0.6452
10 Cu 0.0000 0.5000 0.1328



15.
Compound: SiTcNiRh
Source: Alexandria
Functional: PBE-GGA
Structure: optimized geometry

## Properties
SG = Pm
electronic total energy = -7.558 eV per atom
crystal system = monoclinic

Unit cell a=4.2297 b=2.8687 c=4.2875 alpha=90.00 beta=98.46 gamma=90.00
Fractional coordinates of all 4 atoms:
1 Si 0.8538 0.5000 0.6766
2 Tc 0.3527 0.0000 0.7321
3 Rh 0.9272 0.0000 0.1681
4 Ni 0.4348 0.5000 0.2422



16.
Compound: TaMnIn2Ga
Source: Alexandria
Functional: PBE-GGA
Structure: optimized geometry

## Properties
E_form = 0.90 eV/atom
SG = P4/mmm
crystal system = tetragonal

Unit cell a=5.5062 b=4.6237 c=5.5062 alpha=90.00 beta=90.00 gamma=90.00
Fractional coordinates of all 5 atoms:
1 Ga 0.5000 0.5000 0.5000
2 In 0.0000 0.0000 0.5000
3 Ta 0.0000 0.0000 0.0000
4 Mn 0.0000 0.5000 0.0000
5 In 0.5000 0.0000 0.0000



17.
Compound: NdSmSeS
Source: Alexandria
Functional: PBE-GGA
Structure: optimized geometry

## Properties
SG = R3m
electronic total energy = -6.213 eV per atom
crystal system = trigonal

Unit cell a=4.1122 b=4.1122 c=7.1807 alpha=73.36 beta=73.36 gamma=60.00
Fractional coordinates of all 4 atoms:
1 Se 0.7517 0.7517 0.7450
2 Sm 0.5081 0.5081 0.4758
3 Nd 0.9921 0.9921 0.0237
4 S 0.2482 0.2482 0.2555